Record 1
Here is a geometry-optimized NaCrNi2P structure from Alexandria. Energies are from PBE-GGA.

Output
Symmetry = P4/mmm (123)
Calculated formation energy = 3.92 kcal/mol of atoms
Magnetization = 0.632 μB per atom

Cell: 4.2837 4.4869 4.2837 Å, 90.00 90.00 90.00°
Last column: magnetic moment on the atom in μB.
Fractional positions:
Ni1 0.0000 0.0000 0.5000  0.03
Ni2 0.5000 0.0000 0.0000  -0.20
Na1 0.5000 0.5000 0.5000  0.01
P1 0.0000 0.0000 0.0000  -0.09
Cr1 0.0000 0.5000 0.0000  3.05


Record 2
Here is a geometry-optimized NaCrNiPt2 structure from Alexandria. Energies are from PBE-GGA.

Output
Symmetry = P4/mmm (123)
Calculated formation energy = 14.34 kcal/mol of atoms
Magnetization = 0.000 μB per atom

Cell: 4.6548 4.3541 4.6548 Å, 90.00 90.00 90.00°
Fractional positions:
Ni1 0.0000 0.5000 0.0000
Na1 0.5000 0.5000 0.5000
Pt1 0.0000 0.0000 0.5000
Pt2 0.5000 0.0000 0.0000
Cr1 0.0000 0.0000 0.0000


Record 3
Here is a geometry-optimized Na3Cr2NiS6 structure from Alexandria. Energies are from PBE-GGA.

Output
Symmetry = C2/m (12)
Formation energy without anion corrections = -75.63 kJ/mol of atoms
Magnetization = 0.589 μB per atom

Cell: 6.1669 6.1669 6.7959 Å, 98.69 98.69 120.09°
Last column: magnetic moment on the atom in μB.
Fractional positions:
Na1 0.1664 0.8336 0.5000  0.00
Na2 0.8336 0.1664 0.5000  0.00
Na3 0.5000 0.5000 0.5000  0.00
Cr1 0.3333 0.6667 0.0000  2.85
Cr2 0.6667 0.3333 0.0000  2.85
Ni1 0.0000 0.0000 0.0000  0.80
S1 0.9349 0.6056 0.8044  -0.01
S2 0.7367 0.7367 0.1937  -0.01
S3 0.0651 0.3944 0.1956  -0.01
S4 0.6056 0.9349 0.8044  -0.01
S5 0.2633 0.2633 0.8063  -0.01
S6 0.3944 0.0651 0.1956  -0.01


Record 4
Here is a geometry-optimized NaCr2NiS structure from Alexandria. Energies are from PBE-GGA.

Output
Symmetry = P4/mmm (123)
Formation energy without anion corrections = 162.29 kJ/mol of atoms
Magnetization = 1.931 μB per atom

Cell: 4.9310 4.5530 4.9310 Å, 90.00 90.00 90.00°
Last column: magnetic moment on the atom in μB.
Fractional positions:
Ni1 0.5000 0.5000 0.5000  0.06
S1 0.0000 0.5000 0.0000  -0.02
Na1 0.0000 0.0000 0.0000  0.07
Cr1 0.0000 0.0000 0.5000  4.18
Cr2 0.5000 0.0000 0.0000  4.14


Record 5
Here is a geometry-optimized Na3CrNi2Se6 structure from Alexandria. Energies are from PBE-GGA.

Output
Symmetry = C2/m (12)
Formation energy without anion corrections = -56.75 kJ/mol of atoms
Magnetization = 0.095 μB per atom

Cell: 6.4288 6.4288 7.1356 Å, 98.65 98.65 120.00°
Last column: magnetic moment on the atom in μB.
Fractional positions:
Na1 0.1662 0.8338 0.5000  -0.01
Na2 0.8338 0.1662 0.5000  -0.01
Na3 0.5000 0.5000 0.5000  -0.01
Cr1 0.0000 0.0000 0.0000  2.78
Ni1 0.3333 0.6667 0.0000  -0.50
Ni2 0.6667 0.3333 0.0000  -0.50
Se1 0.9367 0.5977 0.8101  -0.09
Se2 0.7245 0.7245 0.1901  -0.08
Se3 0.0633 0.4023 0.1899  -0.09
Se4 0.5977 0.9367 0.8101  -0.09
Se5 0.2755 0.2755 0.8099  -0.08
Se6 0.4023 0.0633 0.1899  -0.09


Record 6
Here is a geometry-optimized Na3Cr3NiSe8 structure from Alexandria. Energies are from PBE-GGA.

Output
Symmetry = R-3m (166)
Formation energy without anion corrections = -65.68 kJ/mol of atoms
Magnetization = 0.586 μB per atom

Cell: 7.3991 7.3979 8.1693 Å, 116.93 90.00 120.01°
Last column: magnetic moment on the atom in μB.
Fractional positions:
Na1 0.0000 0.0000 0.0000  0.00
Na2 0.0000 0.5000 0.0000  0.00
Na3 0.5000 0.5000 0.0000  0.00
Cr1 0.5000 0.0000 0.5000  2.92
Cr2 0.5000 0.5000 0.5000  2.92
Cr3 0.0000 0.5000 0.5000  2.92
Ni1 0.0000 0.0000 0.5000  0.12
Se1 0.2669 0.5338 0.2997  -0.10
Se2 0.7331 0.4662 0.7003  -0.10
Se3 0.7746 0.5491 0.3093  -0.07
Se4 0.2254 0.4509 0.6907  -0.07
Se5 0.7740 0.0344 0.3097  -0.07
Se6 0.2260 0.9656 0.6903  -0.07
Se7 0.2604 0.0344 0.3097  -0.07
Se8 0.7396 0.9656 0.6903  -0.07


Record 7
Here is a geometry-optimized NaCrNiSe2 structure from Alexandria. Energies are from PBE-GGA.

Output
Symmetry = P4/mmm (123)
Formation energy without anion corrections = 9.74 kJ/mol of atoms
Magnetization = 0.000 μB per atom

Cell: 4.7195 4.5170 4.7195 Å, 90.00 90.00 90.00°
Fractional positions:
Ni1 0.0000 0.5000 0.0000
Na1 0.5000 0.5000 0.5000
Se1 0.0000 0.0000 0.5000
Se2 0.5000 0.0000 0.0000
Cr1 0.0000 0.0000 0.0000


Record 8
Here is a geometry-optimized NaCrNiTe3 structure from Alexandria. Energies are from PBE-GGA.

Output
Symmetry = P2_1/m (11)
Formation energy without anion corrections = -34.52 kJ/mol of atoms
Magnetization = 0.324 μB per atom

Cell: 3.8519 8.4883 9.8854 Å, 112.35 90.00 90.00°
Last column: magnetic moment on the atom in μB.
Fractional positions:
Na1 0.7500 0.7577 0.7306  0.00
Na2 0.2500 0.2423 0.2694  0.00
Cr1 0.2500 0.6937 0.1696  2.69
Cr2 0.7500 0.3063 0.8304  2.69
Ni1 0.2500 0.0835 0.5992  -0.37
Ni2 0.7500 0.9165 0.4008  -0.37
Te1 0.2500 0.7589 0.4586  -0.09
Te2 0.7500 0.9045 0.1435  -0.13
Te3 0.7500 0.4509 0.1331  -0.15
Te4 0.7500 0.2411 0.5414  -0.09
Te5 0.2500 0.5491 0.8669  -0.15
Te6 0.2500 0.0955 0.8565  -0.13


Repeat the second record exactly.
Here is a geometry-optimized NaCrNiPt2 structure from Alexandria. Energies are from PBE-GGA.

Output
Symmetry = P4/mmm (123)
Calculated formation energy = 14.34 kcal/mol of atoms
Magnetization = 0.000 μB per atom

Cell: 4.6548 4.3541 4.6548 Å, 90.00 90.00 90.00°
Fractional positions:
Ni1 0.0000 0.5000 0.0000
Na1 0.5000 0.5000 0.5000
Pt1 0.0000 0.0000 0.5000
Pt2 0.5000 0.0000 0.0000
Cr1 0.0000 0.0000 0.0000


The highest magnetization belongs to which entry? NaCr2NiS


Which value of magnetization does entry 6 give? 0.586 μB per atom


Which formula does entry 7 have? NaCrNiSe2